Entry 1:
BiTePd2S after structural relaxation, computed with PBE-GGA.

Structure (POSCAR):
```
BiTePd2S
1.0
5.0853 0.0000 0.0000
0.0000 5.0853 0.0000
0.0000 0.0000 5.9123
Bi Te Pd S
1 1 2 1
Cartesian
0.0000 0.0000 0.0000 Bi
0.0000 0.0000 2.9562 Te
0.0000 2.5427 0.0000 Pd
2.5427 0.0000 0.0000 Pd
2.5427 2.5427 2.9562 S
```

Results
For the uncorrected formation energy, the calculation gives 4.79 eV per formula unit. The space group is No. 123. The value obtained for the total magnetization is 0.0 μB/f.u.

---

Entry 2:
Pr4Si2Sn5 after structural relaxation, computed with PBE-GGA.

Structure (POSCAR):
```
Pr4Si2Sn5
1.0
7.5463 0.0000 0.0000
0.0000 4.4064 0.0000
-0.6511 0.0000 8.9775
Pr Si Sn
4 2 5
Cartesian
1.4053 0.0000 3.2090 Pr
1.1656 0.0000 8.1138 Pr
5.7296 0.0000 0.8637 Pr
5.4899 0.0000 5.7685 Pr
0.5281 2.2032 1.0760 Si
6.3671 2.2032 7.9015 Si
0.5984 2.2032 5.6783 Sn
3.2590 2.2032 1.4204 Sn
3.4476 2.2032 4.4887 Sn
3.6362 2.2032 7.5571 Sn
6.2968 2.2032 3.2992 Sn
```

Results
For the uncorrected formation energy, the calculation gives -7.08 eV per formula unit. The space group is No. 10. The value obtained for the total magnetization is 0.0 μB/f.u.

---

Entry 3:
PmSi3Rh3 after structural relaxation, computed with PBE-GGA.

Structure (POSCAR):
```
PmSi3Rh3
1.0
8.5322 0.0000 0.0000
-4.2661 7.3891 0.0000
0.0000 0.0000 4.1123
Pm Si Rh
2 6 6
Cartesian
0.0000 4.9261 1.0281 Pm
4.2661 2.4630 3.0843 Pm
-2.2041 4.6313 3.0843 Si
1.3573 3.1647 3.0843 Si
3.4193 0.4069 1.0281 Si
0.8468 6.9822 3.0843 Si
2.9088 4.2244 1.0281 Si
6.4702 2.7578 1.0281 Si
-0.9089 2.5646 3.0843 Rh
-1.5907 6.8940 3.0843 Rh
1.7665 2.0695 1.0281 Rh
2.4996 5.3197 3.0843 Rh
5.8568 0.4951 1.0281 Rh
5.1751 4.8246 1.0281 Rh
```

Results
For the uncorrected formation energy, the calculation gives -5.02 eV per formula unit. The space group is No. 176. Its energy above the most stable polymorph in this dataset is 0 meV/atom. The value obtained for the total magnetization is 0.0 μB/f.u.